NiPdS: relaxed, PBE-GGA.

```
data_NiPdS
_chemical_formula_sum 'Ni4 Pd4 S4'
_cell_length_a 12.540
_cell_length_b 3.237
_cell_length_c 4.104
_cell_angle_alpha 90.00
_cell_angle_beta 97.29
_cell_angle_gamma 90.00
_symmetry_space_group_name_H-M 'C 1 2/m 1'
_symmetry_Int_Tables_number 12
_symmetry_space_group_name_Hall '-C 2y'
loop_
_atom_site_label
_atom_site_fract_x
_atom_site_fract_y
_atom_site_fract_z
Ni1 0.241 0.000 0.256
Pd1 0.086 0.000 0.776
S1 0.121 0.500 0.309
```

Output
energy relative to the elements, uncorrected	-94	meV per atom
D(E_F)	9.8	states/eV/cell

---

Ta4MnTl: relaxed, PBE-GGA.

```
data_Ta4MnTl
_chemical_formula_sum 'Ta16 Mn4 Tl4'
_cell_length_a 7.787
_cell_length_b 7.787
_cell_length_c 7.787
_cell_angle_alpha 90.00
_cell_angle_beta 90.00
_cell_angle_gamma 90.00
_symmetry_space_group_name_H-M 'F -4 3 m'
_symmetry_Int_Tables_number 216
_symmetry_space_group_name_Hall 'F -4 2 3'
loop_
_atom_site_label
_atom_site_fract_x
_atom_site_fract_y
_atom_site_fract_z
Ta1 0.124 0.124 0.376
Mn1 0.250 0.250 0.750
Tl1 0.000 0.000 0.000
```

Output
D(E_F)	25.1	states/eV/cell
formation energy	0.62	eV per atom

---

K3CuRe2O8: relaxed, PBE-GGA.

```
data_K3CuRe2O8
_chemical_formula_sum 'K3 Cu1 Re2 O8'
_cell_length_a 5.9003
_cell_length_b 5.9003
_cell_length_c 7.7059
_cell_angle_alpha 90.00
_cell_angle_beta 90.00
_cell_angle_gamma 120.00
_symmetry_space_group_name_H-M 'P -3 m 1'
_symmetry_Int_Tables_number 164
_symmetry_space_group_name_Hall '-P 3 2"'
loop_
_atom_site_label
_atom_site_fract_x
_atom_site_fract_y
_atom_site_fract_z
K1 0.0000 0.0000 0.0000
K2 0.3333 0.6667 0.6529
Cu1 0.0000 0.0000 0.5000
Re1 0.3333 0.6667 0.2211
O1 0.1691 0.3382 0.3143
O2 0.3333 0.6667 0.9893
```

Output
energy relative to the elements, uncorrected	-1469	meV per atom
D(E_F)	10.2	states/eV/cell

---

KRuBr2: relaxed, PBE-GGA.

```
data_KRuBr2
_chemical_formula_sum 'K4 Ru4 Br8'
_cell_length_a 6.307
_cell_length_b 6.307
_cell_length_c 13.674
_cell_angle_alpha 90.00
_cell_angle_beta 90.00
_cell_angle_gamma 90.00
_symmetry_space_group_name_H-M 'I -4 2 d'
_symmetry_Int_Tables_number 122
_symmetry_space_group_name_Hall 'I -4 2bw'
loop_
_atom_site_label
_atom_site_fract_x
_atom_site_fract_y
_atom_site_fract_z
K1 0.000 0.000 0.000
Ru1 0.000 0.000 0.500
Br1 0.145 0.250 0.625
```

Output
E above lowest polymorph	125	meV/atom
energy relative to the elements, uncorrected	-165	meV per atom
D(E_F)	11.5	states/eV/cell

---

HoTl2Sn: relaxed, PBE-GGA.

```
data_HoTl2Sn
_chemical_formula_sum 'Ho3 Tl6 Sn3'
_cell_length_a 3.5376
_cell_length_b 3.5376
_cell_length_c 34.2871
_cell_angle_alpha 90.00
_cell_angle_beta 90.00
_cell_angle_gamma 120.00
_symmetry_space_group_name_H-M 'R -3 m'
_symmetry_Int_Tables_number 166
_symmetry_space_group_name_Hall '-R 3 2"'
loop_
_atom_site_label
_atom_site_fract_x
_atom_site_fract_y
_atom_site_fract_z
Ho1 0.0000 0.0000 0.0000
Tl1 0.0000 0.0000 0.0905
Sn1 0.0000 0.0000 0.5000
```

Output
E above lowest polymorph	380	meV/atom
D(E_F)	7.6	states/eV/cell
formation energy	0.11	eV per atom

---

ScTiReRu: relaxed, PBE-GGA.

```
data_ScTiReRu
_chemical_formula_sum 'Sc4 Ti4 Re4 Ru4'
_cell_length_a 6.325
_cell_length_b 6.325
_cell_length_c 6.325
_cell_angle_alpha 90.00
_cell_angle_beta 90.00
_cell_angle_gamma 90.00
_symmetry_space_group_name_H-M 'F -4 3 m'
_symmetry_Int_Tables_number 216
_symmetry_space_group_name_Hall 'F -4 2 3'
loop_
_atom_site_label
_atom_site_fract_x
_atom_site_fract_y
_atom_site_fract_z
Sc1 0.000 0.000 0.000
Ti1 0.000 0.000 0.500
Re1 0.250 0.250 0.750
Ru1 0.250 0.250 0.250
```

Output
D(E_F)	21.1	states/eV/cell
formation energy	-0.32	eV per atom

---

Tl2CrRe: relaxed, PBE-GGA.

```
data_Tl2CrRe
_chemical_formula_sum 'Tl8 Cr4 Re4'
_cell_length_a 6.716
_cell_length_b 6.716
_cell_length_c 6.716
_cell_angle_alpha 90.00
_cell_angle_beta 90.00
_cell_angle_gamma 90.00
_symmetry_space_group_name_H-M 'F m -3 m'
_symmetry_Int_Tables_number 225
_symmetry_space_group_name_Hall '-F 4 2 3'
loop_
_atom_site_label
_atom_site_fract_x
_atom_site_fract_y
_atom_site_fract_z
Tl1 0.250 0.250 0.250
Cr1 0.000 0.000 0.000
Re1 0.000 0.000 0.500
```

Output
E above lowest polymorph	499	meV/atom
D(E_F)	15.4	states/eV/cell
formation energy	1.01	eV per atom

---

ZnCdBi3: relaxed, PBE-GGA.

```
data_ZnCdBi3
_chemical_formula_sum 'Zn1 Cd1 Bi3'
_cell_length_a 5.711
_cell_length_b 5.711
_cell_length_c 5.711
_cell_angle_alpha 90.00
_cell_angle_beta 90.00
_cell_angle_gamma 90.00
_symmetry_space_group_name_H-M 'P m -3 m'
_symmetry_Int_Tables_number 221
_symmetry_space_group_name_Hall '-P 4 2 3'
loop_
_atom_site_label
_atom_site_fract_x
_atom_site_fract_y
_atom_site_fract_z
Zn1 0.000 0.000 0.000
Cd1 0.500 0.500 0.500
Bi1 0.000 0.500 0.500
```

Output
E above lowest polymorph	275	meV/atom
D(E_F)	5.2	states/eV/cell
formation energy	0.76	eV per atom

---

LiSm8Cd2: relaxed, PBE-GGA.

```
data_LiSm8Cd2
_chemical_formula_sum 'Li2 Sm16 Cd4'
_cell_length_a 18.182
_cell_length_b 5.380
_cell_length_c 7.116
_cell_angle_alpha 90.00
_cell_angle_beta 105.44
_cell_angle_gamma 90.00
_symmetry_space_group_name_H-M 'C 1 2/m 1'
_symmetry_Int_Tables_number 12
_symmetry_space_group_name_Hall '-C 2y'
loop_
_atom_site_label
_atom_site_fract_x
_atom_site_fract_y
_atom_site_fract_z
Li1 0.000 0.000 0.000
Sm1 0.023 0.500 0.764
Sm2 0.093 0.000 0.459
Sm3 0.161 0.000 0.960
Sm4 0.192 0.500 0.284
Cd1 0.189 0.500 0.715
```

Output
D(E_F)	22.6	states/eV/cell
formation energy	-0.05	eV per atom

---

SrTbPd2: relaxed, PBE-GGA.

```
data_SrTbPd2
_chemical_formula_sum 'Sr4 Tb4 Pd8'
_cell_length_a 7.214
_cell_length_b 7.214
_cell_length_c 7.214
_cell_angle_alpha 90.00
_cell_angle_beta 90.00
_cell_angle_gamma 90.00
_symmetry_space_group_name_H-M 'F m -3 m'
_symmetry_Int_Tables_number 225
_symmetry_space_group_name_Hall '-F 4 2 3'
loop_
_atom_site_label
_atom_site_fract_x
_atom_site_fract_y
_atom_site_fract_z
Sr1 0.000 0.000 0.000
Tb1 0.000 0.000 0.500
Pd1 0.250 0.250 0.250
```

Output
E above lowest polymorph	106	meV/atom
D(E_F)	7.5	states/eV/cell
formation energy	-0.65	eV per atom

---

GaPd2Au5: relaxed, PBE-GGA.

```
data_GaPd2Au5
_chemical_formula_sum 'Ga2 Pd4 Au10'
_cell_length_a 5.773
_cell_length_b 11.468
_cell_length_c 4.131
_cell_angle_alpha 90.00
_cell_angle_beta 90.00
_cell_angle_gamma 90.00
_symmetry_space_group_name_H-M 'P b a m'
_symmetry_Int_Tables_number 55
_symmetry_space_group_name_Hall '-P 2 2ab'
loop_
_atom_site_label
_atom_site_fract_x
_atom_site_fract_y
_atom_site_fract_z
Ga1 0.000 0.000 0.000
Pd1 0.194 0.105 0.500
Au1 0.000 0.500 0.000
Au2 0.047 0.757 0.000
Au3 0.197 0.364 0.500
```

Output
D(E_F)	4.6	states/eV/cell
formation energy	-0.19	eV per atom

---

VPdS2: relaxed, PBE-GGA.

```
data_VPdS2
_chemical_formula_sum 'V2 Pd2 S4'
_cell_length_a 3.213
_cell_length_b 5.919
_cell_length_c 6.973
_cell_angle_alpha 97.76
_cell_angle_beta 103.29
_cell_angle_gamma 90.01
_symmetry_space_group_name_H-M 'P -1'
_symmetry_Int_Tables_number 2
_symmetry_space_group_name_Hall '-P 1'
loop_
_atom_site_label
_atom_site_fract_x
_atom_site_fract_y
_atom_site_fract_z
V1 0.249 0.199 0.497
Pd1 0.041 0.232 0.082
S1 0.134 0.864 0.268
S2 0.339 0.596 0.678
```

Output
energy relative to the elements, uncorrected	-663	meV per atom
D(E_F)	3.9	states/eV/cell

---

MnH2Pd4: relaxed, PBE-GGA.

```
data_MnH2Pd4
_chemical_formula_sum 'Mn2 H4 Pd8'
_cell_length_a 4.060
_cell_length_b 5.740
_cell_length_c 7.609
_cell_angle_alpha 78.61
_cell_angle_beta 74.64
_cell_angle_gamma 89.97
_symmetry_space_group_name_H-M 'P 1'
_symmetry_Int_Tables_number 1
_symmetry_space_group_name_Hall 'P 1'
loop_
_atom_site_label
_atom_site_fract_x
_atom_site_fract_y
_atom_site_fract_z
Mn1 0.000 0.000 0.000
Mn2 0.213 0.616 0.575
H1 0.046 0.156 0.388
H2 0.646 0.458 0.186
H3 0.826 0.551 0.808
H4 0.847 0.065 0.766
Pd1 0.019 0.509 0.988
Pd2 0.220 0.107 0.586
Pd3 0.396 0.714 0.189
Pd4 0.408 0.195 0.177
Pd5 0.581 0.308 0.787
Pd6 0.583 0.808 0.788
Pd7 0.798 0.420 0.397
Pd8 0.798 0.900 0.386
```

Output
E above lowest polymorph	0	meV/atom
D(E_F)	3.4	states/eV/cell